1.
# TbPrInNi, relaxed, DFT PBE-GGA
# Theoretical density ... 7.83 g cm⁻³
data_TbPrInNi
_symmetry_space_group_name_H-M 'F -4 3 m'
_symmetry_Int_Tables_number 216
_symmetry_space_group_name_Hall 'F -4 2 3'
_cell_length_a 7.3775
_cell_length_b 7.3775
_cell_length_c 7.3775
_cell_angle_alpha 90.00
_cell_angle_beta 90.00
_cell_angle_gamma 90.00
loop_
_atom_site_label
_atom_site_type_symbol
_atom_site_fract_x
_atom_site_fract_y
_atom_site_fract_z
Tb1 Tb 0.0000 0.0000 0.0000
Pr1 Pr 0.0000 0.0000 0.5000
In1 In 0.2500 0.2500 0.2500
Ni1 Ni 0.2500 0.2500 0.7500

2.
# Pr2Zn2InNi5, relaxed, DFT PBE-GGA
# Theoretical density ... 8.08 g cm⁻³
data_Pr2Zn2InNi5
_symmetry_space_group_name_H-M 'P 4/m b m'
_symmetry_Int_Tables_number 127
_symmetry_space_group_name_Hall '-P 4 2ab'
_cell_length_a 9.6127
_cell_length_b 9.6127
_cell_length_c 3.6521
_cell_angle_alpha 90.00
_cell_angle_beta 90.00
_cell_angle_gamma 90.00
loop_
_atom_site_label
_atom_site_type_symbol
_atom_site_fract_x
_atom_site_fract_y
_atom_site_fract_z
Pr1 Pr 0.1819 0.3181 0.0000
Zn1 Zn 0.1134 0.6134 0.0000
In1 In 0.0000 0.0000 0.0000
Ni1 Ni 0.0000 0.5000 0.5000
Ni2 Ni 0.0615 0.7829 0.5000

3.
# PrZnInNi, relaxed, DFT PBE-GGA
# Theoretical density ... 7.88 g cm⁻³
data_PrZnInNi
_symmetry_space_group_name_H-M 'F -4 3 m'
_symmetry_Int_Tables_number 216
_symmetry_space_group_name_Hall 'F -4 2 3'
_cell_length_a 6.8413
_cell_length_b 6.8413
_cell_length_c 6.8413
_cell_angle_alpha 90.00
_cell_angle_beta 90.00
_cell_angle_gamma 90.00
loop_
_atom_site_label
_atom_site_type_symbol
_atom_site_fract_x
_atom_site_fract_y
_atom_site_fract_z
Pr1 Pr 0.0000 0.0000 0.0000
Zn1 Zn 0.2500 0.2500 0.2500
In1 In 0.0000 0.0000 0.5000
Ni1 Ni 0.2500 0.2500 0.7500

4.
# InNi5Pt6, relaxed, DFT PBE-GGA
# Theoretical density ... 15.40 g cm⁻³
data_InNi5Pt6
_symmetry_space_group_name_H-M 'P 1 2/m 1'
_symmetry_Int_Tables_number 10
_cell_length_a 4.6075
_cell_length_b 5.5654
_cell_length_c 6.6520
_cell_angle_alpha 90.00
_cell_angle_beta 93.36
_cell_angle_gamma 90.00
loop_
_symmetry_equiv_pos_as_xyz
'x,y,z'
'-x,-y,-z'
'-x,y,-z'
'x,-y,z'
loop_
_atom_site_label
_atom_site_type_symbol
_atom_site_fract_x
_atom_site_fract_y
_atom_site_fract_z
In1 In 0.0000 0.0000 0.0000
Ni1 Ni 0.0000 0.5000 0.0000
Ni2 Ni 0.3218 0.5000 0.6758
Ni3 Ni 0.3341 0.0000 0.6645
Pt1 Pt 0.1807 0.2546 0.3444
Pt2 Pt 0.5000 0.2590 0.0000

5.
# InNi8Pt2, relaxed, DFT PBE-GGA
# Theoretical density ... 11.65 g cm⁻³
data_InNi8Pt2
_symmetry_space_group_name_H-M 'C 1 2/m 1'
_symmetry_Int_Tables_number 12
_cell_length_a 13.2519
_cell_length_b 3.7189
_cell_length_c 5.8506
_cell_angle_alpha 90.00
_cell_angle_beta 105.61
_cell_angle_gamma 90.00
loop_
_symmetry_equiv_pos_as_xyz
'x,y,z'
'-x,-y,-z'
'-x,y,-z'
'x,-y,z'
'x+1/2,y+1/2,z'
'-x+1/2,-y+1/2,-z'
'-x+1/2,y+1/2,-z'
'x+1/2,-y+1/2,z'
loop_
_atom_site_label
_atom_site_type_symbol
_atom_site_fract_x
_atom_site_fract_y
_atom_site_fract_z
In1 In 0.0000 0.0000 0.0000
Ni1 Ni 0.0438 0.5000 0.7156
Ni2 Ni 0.0888 0.0000 0.4639
Ni3 Ni 0.1386 0.5000 0.1845
Ni4 Ni 0.1838 0.0000 0.9108
Pt1 Pt 0.2245 0.5000 0.6445

6.
# In2Ni2Pt, relaxed, DFT PBE-GGA
# Theoretical density ... 11.40 g cm⁻³
data_In2Ni2Pt
_symmetry_space_group_name_H-M 'P 4/m b m'
_symmetry_Int_Tables_number 127
_symmetry_space_group_name_Hall '-P 4 2ab'
_cell_length_a 7.1971
_cell_length_b 7.1971
_cell_length_c 3.0484
_cell_angle_alpha 90.00
_cell_angle_beta 90.00
_cell_angle_gamma 90.00
loop_
_atom_site_label
_atom_site_type_symbol
_atom_site_fract_x
_atom_site_fract_y
_atom_site_fract_z
In1 In 0.1749 0.3251 0.0000
Ni1 Ni 0.1226 0.6226 0.5000
Pt1 Pt 0.0000 0.0000 0.5000

7.
# InNi2Pt, relaxed, DFT PBE-GGA
# Theoretical density ... 12.24 g cm⁻³
data_InNi2Pt
_symmetry_space_group_name_H-M 'P m m 2'
_symmetry_Int_Tables_number 25
_cell_length_a 2.8806
_cell_length_b 3.5742
_cell_length_c 5.6299
_cell_angle_alpha 90.00
_cell_angle_beta 90.00
_cell_angle_gamma 90.00
loop_
_symmetry_equiv_pos_as_xyz
'x,y,z'
'-x,-y,z'
'-x,y,z'
'x,-y,z'
loop_
_atom_site_label
_atom_site_type_symbol
_atom_site_fract_x
_atom_site_fract_y
_atom_site_fract_z
In1 In 0.0000 0.0000 0.0000
Ni1 Ni 0.0000 0.0000 0.4696
Ni2 Ni 0.5000 0.5000 0.2576
Pt1 Pt 0.5000 0.5000 0.7112

8.
# InNiPt, relaxed, DFT PBE-GGA
# Theoretical density ... 13.02 g cm⁻³
data_InNiPt
_symmetry_space_group_name_H-M 'I m m 2'
_symmetry_Int_Tables_number 44
_cell_length_a 2.9456
_cell_length_b 3.7283
_cell_length_c 8.5638
_cell_angle_alpha 90.00
_cell_angle_beta 90.00
_cell_angle_gamma 90.00
loop_
_symmetry_equiv_pos_as_xyz
'x,y,z'
'-x,-y,z'
'-x,y,z'
'x,-y,z'
'x+1/2,y+1/2,z+1/2'
'-x+1/2,-y+1/2,z+1/2'
'-x+1/2,y+1/2,z+1/2'
'x+1/2,-y+1/2,z+1/2'
loop_
_atom_site_label
_atom_site_type_symbol
_atom_site_fract_x
_atom_site_fract_y
_atom_site_fract_z
In1 In 0.0000 0.0000 0.0000
Ni1 Ni 0.0000 0.0000 0.6630
Pt1 Pt 0.0000 0.0000 0.3243

9.
# In2NiPt9, relaxed, DFT PBE-GGA
# Theoretical density ... 17.67 g cm⁻³
data_In2NiPt9
_symmetry_space_group_name_H-M 'P 4/m m m'
_symmetry_Int_Tables_number 123
_symmetry_space_group_name_Hall '-P 4 2'
_cell_length_a 4.0093
_cell_length_b 4.0093
_cell_length_c 11.9467
_cell_angle_alpha 90.00
_cell_angle_beta 90.00
_cell_angle_gamma 90.00
loop_
_atom_site_label
_atom_site_type_symbol
_atom_site_fract_x
_atom_site_fract_y
_atom_site_fract_z
In1 In 0.0000 0.0000 0.1721
Ni1 Ni 0.0000 0.0000 0.5000
Pt1 Pt 0.0000 0.5000 0.0000
Pt2 Pt 0.0000 0.5000 0.3442
Pt3 Pt 0.5000 0.5000 0.1719
Pt4 Pt 0.5000 0.5000 0.5000

10.
# In3NiPt12, relaxed, DFT PBE-GGA
# Theoretical density ... 17.63 g cm⁻³
data_In3NiPt12
_symmetry_space_group_name_H-M 'P 4/m m m'
_symmetry_Int_Tables_number 123
_symmetry_space_group_name_Hall '-P 4 2'
_cell_length_a 4.0301
_cell_length_b 4.0301
_cell_length_c 15.9138
_cell_angle_alpha 90.00
_cell_angle_beta 90.00
_cell_angle_gamma 90.00
loop_
_atom_site_label
_atom_site_type_symbol
_atom_site_fract_x
_atom_site_fract_y
_atom_site_fract_z
In1 In 0.0000 0.0000 0.0000
In2 In 0.0000 0.0000 0.2555
Ni1 Ni 0.0000 0.0000 0.5000
Pt1 Pt 0.0000 0.5000 0.1282
Pt2 Pt 0.0000 0.5000 0.3839
Pt3 Pt 0.5000 0.5000 0.0000
Pt4 Pt 0.5000 0.5000 0.2566
Pt5 Pt 0.5000 0.5000 0.5000

11.
# InNi2Pt, relaxed, DFT PBE-GGA
# Theoretical density ... 12.07 g cm⁻³
data_InNi2Pt
_symmetry_space_group_name_H-M 'C 1 2/m 1'
_symmetry_Int_Tables_number 12
_cell_length_a 8.7383
_cell_length_b 2.9171
_cell_length_c 4.7226
_cell_angle_alpha 90.00
_cell_angle_beta 102.33
_cell_angle_gamma 90.00
loop_
_symmetry_equiv_pos_as_xyz
'x,y,z'
'-x,-y,-z'
'-x,y,-z'
'x,-y,z'
'x+1/2,y+1/2,z'
'-x+1/2,-y+1/2,-z'
'-x+1/2,y+1/2,-z'
'x+1/2,-y+1/2,z'
loop_
_atom_site_label
_atom_site_type_symbol
_atom_site_fract_x
_atom_site_fract_y
_atom_site_fract_z
In1 In 0.0000 0.0000 0.0000
Ni1 Ni 0.2485 0.0000 0.7317
Pt1 Pt 0.0000 0.5000 0.5000

12.
# InNi2Pt2, relaxed, DFT PBE-GGA
# Theoretical density ... 13.71 g cm⁻³
# Energy relative to the lowest polymorph listed for this composition ... 0.00 kcal/mol of atoms
data_InNi2Pt2
_symmetry_space_group_name_H-M 'P 4/m b m'
_symmetry_Int_Tables_number 127
_symmetry_space_group_name_Hall '-P 4 2ab'
_cell_length_a 7.1032
_cell_length_b 7.1032
_cell_length_c 2.9870
_cell_angle_alpha 90.00
_cell_angle_beta 90.00
_cell_angle_gamma 90.00
loop_
_atom_site_label
_atom_site_type_symbol
_atom_site_fract_x
_atom_site_fract_y
_atom_site_fract_z
In1 In 0.0000 0.0000 0.0000
Ni1 Ni 0.1279 0.3721 0.0000
Pt1 Pt 0.1665 0.6665 0.5000

13.
# InNiPt, relaxed, DFT PBE-GGA
# Theoretical density ... 11.56 g cm⁻³
data_InNiPt
_symmetry_space_group_name_H-M 'P 1 2/m 1'
_symmetry_Int_Tables_number 10
_cell_length_a 4.1996
_cell_length_b 2.9085
_cell_length_c 4.3360
_cell_angle_alpha 90.00
_cell_angle_beta 90.19
_cell_angle_gamma 90.00
loop_
_symmetry_equiv_pos_as_xyz
'x,y,z'
'-x,-y,-z'
'-x,y,-z'
'x,-y,z'
loop_
_atom_site_label
_atom_site_type_symbol
_atom_site_fract_x
_atom_site_fract_y
_atom_site_fract_z
In1 In 0.0000 0.0000 0.0000
Ni1 Ni 0.0000 0.5000 0.5000
Pt1 Pt 0.5000 0.0000 0.5000

14.
# InNiPt, relaxed, DFT PBE-GGA
# Theoretical density ... 12.88 g cm⁻³
data_InNiPt
_symmetry_space_group_name_H-M 'P 1 21/m 1'
_symmetry_Int_Tables_number 11
_cell_length_a 4.6728
_cell_length_b 4.5061
_cell_length_c 4.9884
_cell_angle_alpha 90.00
_cell_angle_beta 115.23
_cell_angle_gamma 90.00
loop_
_symmetry_equiv_pos_as_xyz
'x,y,z'
'-x,-y,-z'
'-x,y+1/2,-z'
'x,-y+1/2,z'
loop_
_atom_site_label
_atom_site_type_symbol
_atom_site_fract_x
_atom_site_fract_y
_atom_site_fract_z
In1 In 0.0296 0.2500 0.2169
Ni1 Ni 0.3565 0.7500 0.5226
Pt1 Pt 0.3494 0.2500 0.8346

15.
# InNi2Pt2, relaxed, DFT PBE-GGA
# Theoretical density ... 13.48 g cm⁻³
# Energy relative to the lowest polymorph listed for this composition ... 0.22 kcal/mol of atoms
data_InNi2Pt2
_symmetry_space_group_name_H-M 'P 4/m b m'
_symmetry_Int_Tables_number 127
_symmetry_space_group_name_Hall '-P 4 2ab'
_cell_length_a 7.2406
_cell_length_b 7.2406
_cell_length_c 2.9247
_cell_angle_alpha 90.00
_cell_angle_beta 90.00
_cell_angle_gamma 90.00
loop_
_atom_site_label
_atom_site_type_symbol
_atom_site_fract_x
_atom_site_fract_y
_atom_site_fract_z
In1 In 0.0000 0.0000 0.0000
Ni1 Ni 0.1611 0.3389 0.5000
Pt1 Pt 0.1362 0.6362 0.0000

16.
# InNi2Pt, relaxed, DFT PBE-GGA
# Theoretical density ... 12.17 g cm⁻³
data_InNi2Pt
_symmetry_space_group_name_H-M 'F -4 3 m'
_symmetry_Int_Tables_number 216
_symmetry_space_group_name_Hall 'F -4 2 3'
_cell_length_a 6.1553
_cell_length_b 6.1553
_cell_length_c 6.1553
_cell_angle_alpha 90.00
_cell_angle_beta 90.00
_cell_angle_gamma 90.00
loop_
_atom_site_label
_atom_site_type_symbol
_atom_site_fract_x
_atom_site_fract_y
_atom_site_fract_z
In1 In 0.0000 0.0000 0.0000
Ni1 Ni 0.0000 0.0000 0.5000
Ni2 Ni 0.2500 0.2500 0.2500
Pt1 Pt 0.2500 0.2500 0.7500

17.
# InNi2Pt, relaxed, DFT PBE-GGA
# Theoretical density ... 12.30 g cm⁻³
data_InNi2Pt
_symmetry_space_group_name_H-M 'I -4 m 2'
_symmetry_Int_Tables_number 119
_symmetry_space_group_name_Hall 'I -4 -2'
_cell_length_a 3.8830
_cell_length_b 3.8830
_cell_length_c 7.6511
_cell_angle_alpha 90.00
_cell_angle_beta 90.00
_cell_angle_gamma 90.00
loop_
_atom_site_label
_atom_site_type_symbol
_atom_site_fract_x
_atom_site_fract_y
_atom_site_fract_z
In1 In 0.0000 0.0000 0.0000
Ni1 Ni 0.0000 0.0000 0.5000
Ni2 Ni 0.0000 0.5000 0.2500
Pt1 Pt 0.0000 0.5000 0.7500

18.
# InNi3Pt4, relaxed, DFT PBE-GGA
# Theoretical density ... 15.23 g cm⁻³
data_InNi3Pt4
_symmetry_space_group_name_H-M 'P m m a'
_symmetry_Int_Tables_number 51
_cell_length_a 8.9114
_cell_length_b 5.6168
_cell_length_c 4.6661
_cell_angle_alpha 90.00
_cell_angle_beta 90.00
_cell_angle_gamma 90.00
loop_
_symmetry_equiv_pos_as_xyz
'x,y,z'
'-x,-y,-z'
'-x+1/2,-y,z'
'x+1/2,y,-z'
'x+1/2,-y,-z'
'-x+1/2,y,z'
'-x,y,-z'
'x,-y,z'
loop_
_atom_site_label
_atom_site_type_symbol
_atom_site_fract_x
_atom_site_fract_y
_atom_site_fract_z
In1 In 0.0000 0.0000 0.0000
Ni1 Ni 0.0000 0.5000 0.0000
Ni2 Ni 0.2500 0.0000 0.3808
Ni3 Ni 0.2500 0.5000 0.3489
Pt1 Pt 0.0000 0.2589 0.5000
Pt2 Pt 0.2500 0.2622 0.8579

19.
# InNi2Pt2, relaxed, DFT PBE-GGA
# Theoretical density ... 13.00 g cm⁻³
# Energy relative to the lowest polymorph listed for this composition ... 0.85 kcal/mol of atoms
data_InNi2Pt2
_symmetry_space_group_name_H-M 'I 4/m m m'
_symmetry_Int_Tables_number 139
_symmetry_space_group_name_Hall '-I 4 2'
_cell_length_a 3.4749
_cell_length_b 3.4749
_cell_length_c 13.1701
_cell_angle_alpha 90.00
_cell_angle_beta 90.00
_cell_angle_gamma 90.00
loop_
_atom_site_label
_atom_site_type_symbol
_atom_site_fract_x
_atom_site_fract_y
_atom_site_fract_z
In1 In 0.0000 0.0000 0.0000
Ni1 Ni 0.0000 0.5000 0.2500
Pt1 Pt 0.0000 0.0000 0.3937

20.
# InNi2Pt2, relaxed, DFT PBE-GGA
# Theoretical density ... 12.69 g cm⁻³
# Energy relative to the lowest polymorph listed for this composition ... 3.34 kcal/mol of atoms
data_InNi2Pt2
_symmetry_space_group_name_H-M 'I 4/m m m'
_symmetry_Int_Tables_number 139
_symmetry_space_group_name_Hall '-I 4 2'
_cell_length_a 3.7686
_cell_length_b 3.7686
_cell_length_c 11.4658
_cell_angle_alpha 90.00
_cell_angle_beta 90.00
_cell_angle_gamma 90.00
loop_
_atom_site_label
_atom_site_type_symbol
_atom_site_fract_x
_atom_site_fract_y
_atom_site_fract_z
In1 In 0.0000 0.0000 0.0000
Ni1 Ni 0.0000 0.0000 0.4011
Pt1 Pt 0.0000 0.5000 0.2500

Across the entries above, energy relative to the elements takes the values -0.25, -0.20, -0.30, -0.15, -0.05, -0.13, -0.12, -0.21, -0.25, -0.29, -0.07, -0.06, -0.11, -0.22, -0.05, -0.13, -0.19, -0.15, -0.02, 0.09 eV/atom, respectively.